Material: CaZr2VI
Method: DFT, PBE
State: relaxed

Results
Spin magnetization, μB per cell: 0.23
Energy relative to the lowest polymorph listed for this composition, kJ/mol of formula units: 694.7
Energy relative to the elements, uncorrected, eV/atom: 1.944

Cell: 5.162 5.381 5.162 Å, 90.00 90.00 90.00°
Atoms (fractional coordinates):
I: 0.000 0.500 0.000
V: 0.500 0.500 0.500
Zr: 0.000 0.000 0.500
Ca: 0.000 0.000 0.000
Zr: 0.500 0.000 0.000

Material: TaTcGe
Method: DFT, PBE
State: relaxed

Results
Spin magnetization, μB per cell: 0.01
Formation enthalpy at 0 K, eV per atom: -0.35
Energy relative to the lowest polymorph listed for this composition, kJ/mol of formula units: 0.0

Cell: 6.777 7.215 7.634 Å, 118.20 116.35 90.00°
Atoms (fractional coordinates):
Ta: 0.199 0.972 0.444
Ta: 0.148 0.443 0.385
Tc: 0.500 0.834 0.747
Ta: 0.338 0.248 0.997
Tc: 0.002 0.500 0.000
Ta: 0.755 0.028 0.556
Ge: 0.088 0.827 0.665
Tc: 0.753 0.166 0.253
Tc: 0.500 0.412 0.747
Tc: 0.753 0.588 0.253
Ta: 0.762 0.557 0.615
Ta: 0.341 0.752 0.003
Ge: 0.423 0.173 0.335
Ge: 0.423 0.662 0.335
Ge: 0.088 0.338 0.665
Ge: 0.776 0.784 0.067
Tc: 0.002 0.000 0.000
Ge: 0.709 0.216 0.933

Material: SrC3
Method: DFT, PBE
State: relaxed

Results
Spin magnetization, μB per cell: 8.00
Formation enthalpy at 0 K, eV per atom: 4.24
Energy relative to the lowest polymorph listed for this composition, kJ/mol of formula units: 1409.5

Cell: 5.485 5.485 5.485 Å, 90.00 90.00 90.00°
Atoms (fractional coordinates):
C: 0.000 0.000 0.500
C: 0.000 0.500 0.000
C: 0.500 0.000 0.000
Sr: 0.000 0.000 0.000

Material: BaNa4Hg15
Method: DFT, PBE
State: relaxed

Results
Spin magnetization, μB per cell: 0.00
Formation enthalpy at 0 K, eV per atom: -0.23

Cell: 4.824 4.824 23.455 Å, 90.00 90.00 90.00°
Atoms (fractional coordinates):
Hg: 0.500 0.500 0.403
Ba: 0.000 0.000 0.000
Hg: 0.500 0.000 0.305
Na: 0.000 0.000 0.402
Hg: 0.500 0.500 0.597
Hg: 0.000 0.500 0.889
Hg: 0.500 0.500 0.000
Na: 0.000 0.000 0.598
Hg: 0.500 0.000 0.889
Na: 0.000 0.000 0.209
Hg: 0.500 0.500 0.794
Hg: 0.000 0.500 0.111
Na: 0.000 0.000 0.791
Hg: 0.500 0.000 0.500
Hg: 0.500 0.000 0.111
Hg: 0.000 0.500 0.695
Hg: 0.000 0.500 0.500
Hg: 0.500 0.000 0.695
Hg: 0.500 0.500 0.206
Hg: 0.000 0.500 0.305

Material: Ac5In2Ge
Method: DFT, PBE
State: relaxed

Results
Spin magnetization, μB per cell: 0.00
Formation enthalpy at 0 K, eV per atom: -0.40

Cell: 5.511 7.497 14.049 Å, 90.00 90.00 90.00°
Atoms (fractional coordinates):
Ac: 0.000 0.138 0.784
Ac: 0.000 0.862 0.216
Ac: 0.500 0.337 0.589
In: 0.500 0.108 0.345
In: 0.500 0.892 0.655
Ac: 0.000 0.000 0.500
Ac: 0.500 0.163 0.089
Ac: 0.000 0.638 0.716
Ac: 0.500 0.663 0.411
In: 0.500 0.608 0.155
In: 0.500 0.392 0.845
Ge: 0.000 0.000 0.000
Ac: 0.000 0.362 0.284
Ac: 0.500 0.837 0.911
Ge: 0.000 0.500 0.500
Ac: 0.000 0.500 0.000

Material: Sc2TiBiPt
Method: DFT, PBE
State: relaxed

Results
Spin magnetization, μB per cell: 0.00
Formation enthalpy at 0 K, eV per atom: 0.20

Cell: 5.079 4.675 5.079 Å, 90.00 90.00 90.00°
Atoms (fractional coordinates):
Bi: 0.500 0.500 0.500
Pt: 0.000 0.500 0.000
Sc: 0.000 0.000 0.500
Sc: 0.500 0.000 0.000
Ti: 0.000 0.000 0.000

What is the spin magnetization in the third record?
8.00 μB per cell